Compound: MnMo2Rh
Source: Alexandria
Functional: GGA-PBE
Structure: relaxed

Summary:
The symmetry is R3m, No. 160. As for the excess energy over the best structure of this formula in the dataset: 161 meV/atom. As for the crystal system: trigonal. The total DFT energy (no corrections) comes out at -37.52 eV per cell. The density of states at the Fermi level comes out at 3.7 states/eV per cell.

Lattice parameters (Å, degrees): 9.176 9.176 9.176 17.30 17.30 17.30
Each line ends with the local moment (μB).
Atoms (fractional coordinates):
Mo: 0.246 0.246 0.246  -0.01
Mn: 0.753 0.753 0.753  2.89
Mo: 0.004 0.004 0.004  -0.13
Rh: 0.498 0.498 0.498  0.09

***

Compound: MnMoRh
Source: Alexandria
Functional: GGA-PBE
Structure: relaxed

Summary:
The symmetry is P-6m2, No. 187. As for the excess energy over the best structure of this formula in the dataset: 92 meV/atom. As for the crystal system: hexagonal. The total DFT energy (no corrections) comes out at -27.11 eV per cell. The density of states at the Fermi level comes out at 2.6 states/eV per cell.

Lattice parameters (Å, degrees): 4.225 4.225 2.670 90.00 90.00 120.00
Each line ends with the local moment (μB).
Atoms (fractional coordinates):
Mo: 0.667 0.333 0.167  -0.12
Rh: 0.333 0.667 0.667  0.00
Mn: 0.000 0.000 0.167  0.45

***

Compound: MnMo2Rh
Source: Alexandria
Functional: GGA-PBE
Structure: relaxed

Summary:
The symmetry is Cmmm, No. 65. As for the excess energy over the best structure of this formula in the dataset: 20 meV/atom. As for the crystal system: orthorhombic. The total DFT energy (no corrections) comes out at -38.08 eV per cell. The density of states at the Fermi level comes out at 4.4 states/eV per cell.

Lattice parameters (Å, degrees): 4.767 4.767 2.720 90.00 90.00 110.84
Each line ends with the local moment (μB).
Atoms (fractional coordinates):
Mn: 0.000 0.500 0.500  2.09
Mo: 0.000 0.000 0.000  -0.26
Mo: 0.500 0.500 0.000  -0.26
Rh: 0.500 0.000 0.500  -0.05

***

Compound: MnMo2Rh
Source: Alexandria
Functional: GGA-PBE
Structure: relaxed

Summary:
The symmetry is Pm, No. 6. As for the excess energy over the best structure of this formula in the dataset: 35 meV/atom. As for the crystal system: monoclinic. The total DFT energy (no corrections) comes out at -38.02 eV per cell. The density of states at the Fermi level comes out at 4.7 states/eV per cell.

Lattice parameters (Å, degrees): 4.394 2.699 4.905 85.48 90.00 90.00
Each line ends with the local moment (μB).
Atoms (fractional coordinates):
Mn: 0.500 0.652 0.782  2.17
Rh: 0.000 0.614 0.477  0.04
Mo: 0.000 0.029 0.967  -0.16
Mo: 0.500 0.205 0.273  -0.09

***

Compound: MnMo2Rh
Source: Alexandria
Functional: GGA-PBE
Structure: relaxed

Summary:
The symmetry is F-43m, No. 216. As for the excess energy over the best structure of this formula in the dataset: 55 meV/atom. As for the crystal system: cubic. The total DFT energy (no corrections) comes out at -37.94 eV per cell. The density of states at the Fermi level comes out at 3.6 states/eV per cell.

Lattice parameters (Å, degrees): 4.381 4.381 4.381 60.00 60.00 60.00
Each line ends with the local moment (μB).
Atoms (fractional coordinates):
Mn: 0.500 0.500 0.500  3.15
Mo: 0.000 0.000 0.000  0.35
Rh: 0.750 0.750 0.750  0.40
Mo: 0.250 0.250 0.250  -0.31

***

Compound: MnMoRh3
Source: Alexandria
Functional: GGA-PBE
Structure: relaxed

Summary:
The symmetry is P-1, No. 2. As for the excess energy over the best structure of this formula in the dataset: 0 meV/atom. As for the crystal system: triclinic. The total DFT energy (no corrections) comes out at -83.37 eV per cell. The density of states at the Fermi level comes out at 10.3 states/eV per cell.

Lattice parameters (Å, degrees): 5.017 5.042 6.738 108.75 109.94 79.58
Each line ends with the local moment (μB).
Atoms (fractional coordinates):
Rh: 0.500 0.000 0.000  0.08
Rh: 0.931 0.821 0.306  0.00
Rh: 0.069 0.179 0.694  0.00
Rh: 0.806 0.359 0.328  0.02
Mn: 0.298 0.553 0.105  3.65
Mn: 0.702 0.447 0.895  3.65
Mo: 0.607 0.817 0.595  -0.11
Rh: 0.000 0.000 0.000  0.11
Mo: 0.393 0.183 0.405  -0.11
Rh: 0.194 0.641 0.672  0.02

***

Compound: MnMoRh
Source: Alexandria
Functional: GGA-PBE
Structure: relaxed

Summary:
The symmetry is Imm2, No. 44. As for the excess energy over the best structure of this formula in the dataset: 0 meV/atom. As for the crystal system: orthorhombic. The total DFT energy (no corrections) comes out at -27.39 eV per cell. The density of states at the Fermi level comes out at 2.8 states/eV per cell.

Lattice parameters (Å, degrees): 4.780 4.780 4.780 146.53 134.10 57.98
Each line ends with the local moment (μB).
Atoms (fractional coordinates):
Mn: 0.001 0.001 0.000  2.88
Mo: 0.335 0.335 0.000  -0.31
Rh: 0.664 0.664 0.000  0.18

***

Compound: MnMoRh
Source: Alexandria
Functional: GGA-PBE
Structure: relaxed

Summary:
The symmetry is C2/m, No. 12. As for the excess energy over the best structure of this formula in the dataset: 3 meV/atom. As for the crystal system: monoclinic. The total DFT energy (no corrections) comes out at -54.75 eV per cell. The density of states at the Fermi level comes out at 6.1 states/eV per cell.

Lattice parameters (Å, degrees): 3.884 4.748 5.358 106.24 90.00 114.14
Each line ends with the local moment (μB).
Atoms (fractional coordinates):
Mn: 0.329 0.659 0.415  2.79
Rh: 0.333 0.667 0.908  0.17
Mo: 0.008 0.015 0.750  -0.30
Rh: 0.667 0.333 0.092  0.17
Mn: 0.671 0.341 0.585  2.79
Mo: 0.992 0.985 0.250  -0.30

***

Compound: MnMo2Rh
Source: Alexandria
Functional: GGA-PBE
Structure: relaxed

Summary:
The symmetry is I-4m2, No. 119. As for the excess energy over the best structure of this formula in the dataset: 89 meV/atom. As for the crystal system: tetragonal. The total DFT energy (no corrections) comes out at -37.81 eV per cell. The density of states at the Fermi level comes out at 5.1 states/eV per cell.

Lattice parameters (Å, degrees): 4.751 4.751 4.751 132.10 132.07 70.09
Each line ends with the local moment (μB).
Atoms (fractional coordinates):
Mn: 0.250 0.750 0.500  1.92
Rh: 0.500 0.500 0.000  -0.16
Mo: 0.750 0.250 0.500  -0.21
Mo: 0.000 0.000 0.000  -0.29

***

Compound: MnMo2Rh
Source: Alexandria
Functional: GGA-PBE
Structure: relaxed

Summary:
The symmetry is P4mm, No. 99. As for the excess energy over the best structure of this formula in the dataset: 54 meV/atom. As for the crystal system: tetragonal. The total DFT energy (no corrections) comes out at -37.95 eV per cell. The density of states at the Fermi level comes out at 3.3 states/eV per cell.

Lattice parameters (Å, degrees): 2.711 2.711 8.059 90.00 90.00 90.00
Each line ends with the local moment (μB).
Atoms (fractional coordinates):
Mo: 0.500 0.500 0.267  -0.05
Rh: 0.000 0.000 0.507  0.11
Mn: 0.500 0.500 0.738  2.92
Mo: 0.000 0.000 0.987  -0.14

***

Compound: MnMo2Rh
Source: Alexandria
Functional: GGA-PBE
Structure: relaxed

Summary:
The symmetry is R-3m, No. 166. As for the excess energy over the best structure of this formula in the dataset: 166 meV/atom. As for the crystal system: trigonal. The total DFT energy (no corrections) comes out at -37.50 eV per cell. The density of states at the Fermi level comes out at 4.8 states/eV per cell.

Lattice parameters (Å, degrees): 9.182 9.182 9.182 17.14 17.14 17.14
Each line ends with the local moment (μB).
Atoms (fractional coordinates):
Mo: 0.000 0.000 0.000  -0.09
Mo: 0.500 0.500 0.500  -0.09
Mn: 0.750 0.750 0.750  2.34
Rh: 0.250 0.250 0.250  0.03

***

Compound: MnMoRh
Source: Alexandria
Functional: GGA-PBE
Structure: relaxed

Summary:
The symmetry is I4mm, No. 107. As for the excess energy over the best structure of this formula in the dataset: 14 meV/atom. As for the crystal system: tetragonal. The total DFT energy (no corrections) comes out at -27.34 eV per cell. The density of states at the Fermi level comes out at 3.4 states/eV per cell.

Lattice parameters (Å, degrees): 6.061 6.061 6.061 153.91 153.91 37.24
Each line ends with the local moment (μB).
Atoms (fractional coordinates):
Mo: 0.333 0.333 0.000  -0.21
Mn: 0.003 0.003 0.000  2.87
Rh: 0.664 0.664 0.000  0.04

***

Compound: Mn2Mo2Rh
Source: Alexandria
Functional: GGA-PBE
Structure: relaxed

Summary:
The symmetry is P4/mbm, No. 127. As for the crystal system: tetragonal. The total DFT energy (no corrections) comes out at -93.29 eV per cell. The density of states at the Fermi level comes out at 11.4 states/eV per cell.

Lattice parameters (Å, degrees): 6.888 6.888 2.920 90.00 90.00 90.00
Each line ends with the local moment (μB).
Atoms (fractional coordinates):
Mn: 0.368 0.868 0.000  1.19
Mn: 0.868 0.632 0.000  1.19
Rh: 0.500 0.500 0.000  0.17
Mo: 0.328 0.172 0.500  -0.29
Mo: 0.672 0.828 0.500  -0.29
Mn: 0.132 0.368 0.000  1.19
Mo: 0.172 0.672 0.500  -0.29
Rh: 0.000 0.000 0.000  0.17
Mo: 0.828 0.328 0.500  -0.29
Mn: 0.632 0.132 0.000  1.19

***

Compound: MnMo2Rh
Source: Alexandria
Functional: GGA-PBE
Structure: relaxed

Summary:
The symmetry is P4mm, No. 99. As for the excess energy over the best structure of this formula in the dataset: 34 meV/atom. As for the crystal system: tetragonal. The total DFT energy (no corrections) comes out at -38.03 eV per cell. The density of states at the Fermi level comes out at 4.1 states/eV per cell.

Lattice parameters (Å, degrees): 3.147 3.147 5.996 90.00 90.00 90.00
Each line ends with the local moment (μB).
Atoms (fractional coordinates):
Mo: 0.500 0.500 0.243  0.19
Mn: 0.500 0.500 0.755  3.02
Mo: 0.000 0.000 0.992  -0.41
Rh: 0.000 0.000 0.510  0.35